[1]
Here is ZrAgAu2 after structural relaxation from Alexandria. Energies are from PBE.

Summary:
As for the energy of formation from the pure elements: -332 meV per atom. As for the energy relative to the lowest polymorph listed for this composition: 62 meV per atom.

The structure in CIF format:
```
data_ZrAgAu2
_space_group_name_H-M_alt 'P 1'
_space_group_IT_number 1
_cell_length_a 3.120
_cell_length_b 3.683
_cell_length_c 6.633
_cell_angle_alpha 90.00
_cell_angle_beta 90.15
_cell_angle_gamma 90.00
loop_
_space_group_symop_operation_xyz
'x,y,z'
loop_
_atom_site_label
_atom_site_type_symbol
_atom_site_fract_x
_atom_site_fract_y
_atom_site_fract_z
Zr1 Zr 0.000 0.000 0.000
Ag1 Ag 0.000 0.000 0.500
Au1 Au 0.499 0.500 0.745
Au2 Au 0.501 0.500 0.255
```


[2]
Here is Ba2PrCd after structural relaxation from Alexandria. Energies are from PBE.

Summary:
As for the energy of formation from the pure elements: 208 meV per atom. As for the energy relative to the lowest polymorph listed for this composition: 221 meV per atom.

The structure in CIF format:
```
data_Ba2PrCd
_space_group_name_H-M_alt 'P 1'
_space_group_IT_number 1
_cell_length_a 13.248
_cell_length_b 13.248
_cell_length_c 13.248
_cell_angle_alpha 17.04
_cell_angle_beta 17.04
_cell_angle_gamma 17.04
loop_
_space_group_symop_operation_xyz
'x,y,z'
loop_
_atom_site_label
_atom_site_type_symbol
_atom_site_fract_x
_atom_site_fract_y
_atom_site_fract_z
Ba1 Ba 0.096 0.096 0.096
Ba2 Ba 0.904 0.904 0.904
Pr1 Pr 0.000 0.000 0.000
Cd1 Cd 0.500 0.500 0.500
```


[3]
Here is Sr4ScTe after structural relaxation from Alexandria. Energies are from PBE.

Summary:
The uncorrected formation energy comes out at 0.293 eV/atom.

The structure in CIF format:
```
data_Sr4ScTe
_space_group_name_H-M_alt 'P 1'
_space_group_IT_number 1
_cell_length_a 7.166
_cell_length_b 7.166
_cell_length_c 7.166
_cell_angle_alpha 60.00
_cell_angle_beta 60.00
_cell_angle_gamma 60.00
loop_
_space_group_symop_operation_xyz
'x,y,z'
loop_
_atom_site_label
_atom_site_type_symbol
_atom_site_fract_x
_atom_site_fract_y
_atom_site_fract_z
Sr1 Sr 0.376 0.376 0.376
Sr2 Sr 0.376 0.376 0.873
Sr3 Sr 0.376 0.873 0.376
Sr4 Sr 0.873 0.376 0.376
Sc1 Sc 0.750 0.750 0.750
Te1 Te 0.000 0.000 0.000
```


[4]
Here is MgAl2Ag2 after structural relaxation from Alexandria. Energies are from PBE.

Summary:
As for the energy of formation from the pure elements: 60 meV per atom. As for the energy relative to the lowest polymorph listed for this composition: 159 meV per atom.

The structure in CIF format:
```
data_MgAl2Ag2
_space_group_name_H-M_alt 'P 1'
_space_group_IT_number 1
_cell_length_a 4.369
_cell_length_b 4.369
_cell_length_c 5.707
_cell_angle_alpha 91.80
_cell_angle_beta 91.80
_cell_angle_gamma 113.75
loop_
_space_group_symop_operation_xyz
'x,y,z'
loop_
_atom_site_label
_atom_site_type_symbol
_atom_site_fract_x
_atom_site_fract_y
_atom_site_fract_z
Mg1 Mg 0.000 0.000 0.000
Al1 Al 0.174 0.826 0.500
Al2 Al 0.826 0.174 0.500
Ag1 Ag 0.473 0.473 0.750
Ag2 Ag 0.527 0.527 0.250
```